This record from the Open Quantum Materials Database describes crystalline Re3Pd at its relaxed geometry. The functional is PBE-GGA.

abc: 2.7633 2.7633 8.9651
angles: 90.00 90.00 120.00
Space group P-6m2 (No. 187)
Inequivalent atoms, fractional coordinates:
1 Re 0.0000 0.0000 0.0000 x1
2 Re 0.6667 0.3333 0.2458 x2
3 Pd 0.0000 0.0000 0.5000 x1

Results
- E (eV/atom) = -10.57
- size of the total moment (μB per formula unit) = 0.0
- energy of formation (eV per atom) = 0.04

This record from the Open Quantum Materials Database describes crystalline HgOsO3 at its relaxed geometry. The functional is PBE-GGA.

abc: 5.4335 5.4335 16.6708
angles: 90.00 90.00 120.00
Space group R-3 (No. 148, hexagonal axes)
Inequivalent atoms, fractional coordinates:
1 Hg 0.0000 0.0000 0.1338 x6
2 Os 0.0000 0.0000 0.3361 x6
3 O 0.0039 0.6111 0.9381 x18

Results
- E (eV/atom) = -5.85
- size of the total moment (μB per formula unit) = 0.0